Compound: ScCuAg
Source: Alexandria via LeMat-Bulk
Functional: PBE
Structure: optimized geometry

Lattice parameters (Å, degrees): 9.3986 3.3317 7.1292 90.00 112.36 90.00
With the nearest neighbours (Å) after each atom.
Space group C2/m (No. 12)
Asymmetric unit:
1 Sc 0.0012 0.0000 0.2345  5 Cu 2.73-2.87, 5 Ag 2.86-2.98
2 Cu 0.1707 0.5000 0.0706  3 Cu 2.67-2.97, 5 Sc 2.73-2.87, 2 Ag 2.81
3 Ag 0.1702 0.5000 0.5988  2 Cu 2.81, 5 Sc 2.86-2.98, 3 Ag 2.94-2.96

Calculated values
Crystal system: monoclinic
E_form: -0.255 eV per atom
Volume: 206.5 Å³ per cell
Energy above the most stable polymorph in this dataset: 0.00 kcal/mol of atoms
DFT total energy: -4.68 eV/atom

---

Compound: Sc2CuAg
Source: Alexandria via LeMat-Bulk
Functional: PBE
Structure: optimized geometry

Lattice parameters (Å, degrees): 6.7271 6.7464 3.3350 90.00 90.00 90.00
With the nearest neighbours (Å) after each atom.
Space group Cmmm (No. 65)
Asymmetric unit:
1 Sc 0.2500 0.2500 0.0000  4 Cu 2.91, 4 Ag 2.91
2 Cu 0.0000 0.0000 0.5000  8 Sc 2.91
3 Ag 0.0000 0.5000 0.5000  8 Sc 2.91

Calculated values
Crystal system: orthorhombic
E_form: -0.252 eV per atom
Volume: 151.4 Å³ per cell
DFT total energy: -5.15 eV/atom

---

Compound: Sc2CuAg
Source: Alexandria via LeMat-Bulk
Functional: PBE
Structure: optimized geometry

Lattice parameters (Å, degrees): 3.3373 3.3373 6.7544 90.00 90.00 90.00
With the nearest neighbours (Å) after each atom.
Space group P4/mmm (No. 123)
Asymmetric unit:
1 Sc 0.0000 0.0000 0.2348  4 Cu 2.84, 4 Ag 2.96, 1 Sc 3.17
2 Cu 0.5000 0.5000 0.0000  8 Sc 2.84
3 Ag 0.5000 0.5000 0.5000  8 Sc 2.96

Calculated values
Crystal system: tetragonal
E_form: -0.271 eV per atom
Volume: 75.2 Å³ per cell
DFT total energy: -5.17 eV/atom

---

Compound: ScCu2Ag
Source: Alexandria via LeMat-Bulk
Functional: PBE
Structure: optimized geometry

Lattice parameters (Å, degrees): 6.3312 6.3312 6.3312 90.00 90.00 90.00
With the nearest neighbours (Å) after each atom.
Space group Fm-3m (No. 225)
Asymmetric unit:
1 Sc 0.0000 0.0000 0.0000  8 Cu 2.74
2 Cu 0.2500 0.2500 0.2500  4 Sc 2.74, 4 Ag 2.74
3 Ag 0.0000 0.0000 0.5000  8 Cu 2.74

Calculated values
Crystal system: cubic
E_form: -0.153 eV per atom
Volume: 253.8 Å³ per cell
Energy above the most stable polymorph in this dataset: 0.00 kcal/mol of atoms
DFT total energy: -4.50 eV/atom

---

Compound: ScCuAg
Source: Alexandria via LeMat-Bulk
Functional: PBE
Structure: optimized geometry

Lattice parameters (Å, degrees): 3.4394 3.4394 8.7536 90.00 90.00 90.00
With the nearest neighbours (Å) after each atom.
Space group P4/nmm (No. 129, origin choice 2)
Asymmetric unit:
1 Sc 0.2500 0.2500 0.2325  5 Cu 2.70-2.79, 4 Ag 2.89
2 Cu 0.2500 0.2500 0.9243  5 Sc 2.70-2.79, 4 Cu 2.77, 1 Ag 2.93
3 Ag 0.2500 0.2500 0.5900  5 Sc 2.89-3.13, 4 Ag 2.90, 1 Cu 2.93

Calculated values
Crystal system: tetragonal
E_form: -0.254 eV per atom
Volume: 103.6 Å³ per cell
Energy above the most stable polymorph in this dataset: 0.02 kcal/mol of atoms
DFT total energy: -4.68 eV/atom

---

Compound: ScCu2Ag
Source: Alexandria via LeMat-Bulk
Functional: PBE
Structure: optimized geometry

Lattice parameters (Å, degrees): 3.2307 4.0838 5.2401 90.00 107.84 90.00
With the nearest neighbours (Å) after each atom.
Space group Pm (No. 6)
Asymmetric unit:
1 Sc 0.0000 0.0000 0.0000  7 Cu 2.71-2.79
2 Cu 0.2728 0.0000 0.5440  2 Cu 2.42
3 Cu 0.4037 0.5000 0.8052  2 Cu 2.42, 1 Ag 2.71
4 Ag 0.6748 0.5000 0.3477  7 Cu 2.71-2.80

Calculated values
Crystal system: monoclinic
E_form: -0.083 eV per atom
Volume: 65.8 Å³ per cell
Energy above the most stable polymorph in this dataset: 1.61 kcal/mol of atoms
DFT total energy: -4.43 eV/atom

---

Compound: Sc5CuAg4
Source: Alexandria via LeMat-Bulk
Functional: PBE
Structure: optimized geometry

Lattice parameters (Å, degrees): 3.3798 3.3798 17.2992 90.00 90.00 90.00
With the nearest neighbours (Å) after each atom.
Space group P4/mmm (No. 123)
Asymmetric unit:
1 Sc 0.0000 0.0000 0.0000  8 Ag 2.97
2 Sc 0.0000 0.0000 0.2043  8 Ag 2.97
3 Sc 0.0000 0.0000 0.4087  4 Cu 2.86, 4 Ag 2.98, 1 Sc 3.16
4 Cu 0.5000 0.5000 0.5000  8 Sc 2.86
5 Ag 0.5000 0.5000 0.1022  8 Sc 2.97
6 Ag 0.5000 0.5000 0.3058  8 Sc 2.97-2.98

Calculated values
Crystal system: tetragonal
E_form: -0.272 eV per atom
Volume: 197.6 Å³ per cell
DFT total energy: -4.99 eV/atom

---

Compound: Sc2CuAg
Source: Alexandria via LeMat-Bulk
Functional: PBE
Structure: optimized geometry

Lattice parameters (Å, degrees): 3.3125 4.6487 9.9384 90.00 90.00 90.00
With the nearest neighbours (Å) after each atom.
Space group Imm2 (No. 44)
Asymmetric unit:
1 Sc 0.0000 0.0000 0.0000  4 Cu 2.86, 2 Ag 3.15, 2 Sc 3.15
2 Sc 0.0000 0.5000 0.2145  2 Cu 2.81, 4 Ag 2.91
3 Cu 0.0000 0.0000 0.4855  2 Ag 2.71, 6 Sc 2.81-2.86
4 Ag 0.0000 0.5000 0.7699  2 Cu 2.71, 4 Sc 2.91

Calculated values
Crystal system: orthorhombic
E_form: -0.128 eV per atom
Volume: 153.0 Å³ per cell
DFT total energy: -5.03 eV/atom

---

Compound: Sc2CuAgSe
Source: Alexandria via LeMat-Bulk
Functional: PBE
Structure: optimized geometry

Lattice parameters (Å, degrees): 5.0296 5.0296 4.4373 90.00 90.00 90.00
With the nearest neighbours (Å) after each atom.
Space group P4/mmm (No. 123)
Asymmetric unit:
1 Sc 0.0000 0.5000 0.0000  2 Se 2.51
2 Cu 0.0000 0.0000 0.5000  2 Se 2.22
3 Ag 0.5000 0.5000 0.5000  8 Sc 3.35, 4 Cu 3.56
4 Se 0.0000 0.0000 0.0000  2 Cu 2.22

Calculated values
Crystal system: tetragonal
Volume: 112.3 Å³ per cell
E_form (uncorrected): -0.1615 eV per atom
DFT total energy: -4.78 eV/atom

---

Compound: SmScCuAg
Source: Alexandria via LeMat-Bulk
Functional: PBE
Structure: optimized geometry

Lattice parameters (Å, degrees): 7.0242 7.0242 7.0242 90.00 90.00 90.00
With the nearest neighbours (Å) after each atom.
Space group F-43m (No. 216)
Asymmetric unit:
1 Sm 0.0000 0.0000 0.0000  4 Cu 3.04, 4 Ag 3.04
2 Sc 0.0000 0.0000 0.5000  4 Cu 3.04, 4 Ag 3.04
3 Cu 0.2500 0.2500 0.7500  4 Sm 3.04, 4 Sc 3.04
4 Ag 0.2500 0.2500 0.2500  4 Sc 3.04, 4 Sm 3.04

Calculated values
Crystal system: cubic
E_form: -0.194 eV per atom
Volume: 346.6 Å³ per cell
DFT total energy: -4.69 eV/atom

---

Compound: ScCuAgSn
Source: Alexandria via LeMat-Bulk
Functional: PBE
Structure: optimized geometry

Lattice parameters (Å, degrees): 6.6475 6.6475 6.6475 90.00 90.00 90.00
With the nearest neighbours (Å) after each atom.
Space group F-43m (No. 216)
Asymmetric unit:
1 Sc 0.0000 0.0000 0.0000  4 Cu 2.88, 4 Ag 2.88
2 Cu 0.2500 0.2500 0.2500  4 Sn 2.88, 4 Sc 2.88
3 Ag 0.2500 0.2500 0.7500  4 Sn 2.88, 4 Sc 2.88
4 Sn 0.0000 0.0000 0.5000  4 Ag 2.88, 4 Cu 2.88

Calculated values
Crystal system: cubic
E_form: -0.267 eV per atom
Volume: 293.8 Å³ per cell
DFT total energy: -4.59 eV/atom

---

Compound: ScCuAg2Te
Source: Alexandria via LeMat-Bulk
Functional: PBE
Structure: optimized geometry

Lattice parameters (Å, degrees): 5.2279 5.2279 4.8015 90.00 90.00 90.00
With the nearest neighbours (Å) after each atom.
Space group P4/mmm (No. 123)
Asymmetric unit:
1 Sc 0.0000 0.0000 0.0000  2 Cu 2.40, 4 Ag 2.61
2 Cu 0.0000 0.0000 0.5000  2 Sc 2.40
3 Ag 0.0000 0.5000 0.0000  2 Sc 2.61
4 Te 0.5000 0.5000 0.5000  8 Ag 3.55, 4 Cu 3.70

Calculated values
Crystal system: tetragonal
Volume: 131.2 Å³ per cell
E_form (uncorrected): 0.8719 eV per atom
DFT total energy: -2.98 eV/atom